This record from Alexandria via LeMat-Bulk describes Li3Zn6Ga after structural relaxation. The functional is PBE-GGA.

Cell lengths 4.4426, 7.1313, 9.8544 Å; angles 107.00, 90.00, 90.00 degrees
Last column: nearest neighbours and their distance in Å.
Atoms (fractional coordinates):
Li  0.7500  0.7902  0.3718  9 Zn 2.71-2.96, 2 Li 2.77, 1 Ga 2.79
Li  0.7500  0.1909  0.9674  11 Zn 2.63-2.88, 1 Li 2.73
Li  0.2500  0.2098  0.6282  9 Zn 2.71-2.96, 2 Li 2.77, 1 Ga 2.79
Li  0.7500  0.3971  0.7740  1 Ga 2.70, 3 Li 2.73-2.77, 8 Zn 2.74-2.96
Li  0.2500  0.8091  0.0326  11 Zn 2.63-2.88, 1 Li 2.73
Li  0.2500  0.6029  0.2260  1 Ga 2.70, 3 Li 2.73-2.77, 8 Zn 2.74-2.96
Zn  0.7500  0.9965  0.6663  6 Zn 2.71-2.79, 5 Li 2.74-2.88, 1 Ga 2.76
Zn  0.2500  0.4073  0.9381  5 Zn 2.65-2.70, 7 Li 2.74-2.96
Zn  0.7500  0.9845  0.1717  8 Zn 2.69-2.84, 4 Li 2.72-2.82
Zn  0.2500  0.6141  0.7537  5 Zn 2.65-2.91, 4 Li 2.69-2.79, 2 Ga 2.80
Zn  0.7500  0.8048  0.8756  4 Li 2.63-2.78, 7 Zn 2.70-2.82, 1 Ga 2.89
Zn  0.7500  0.3859  0.2463  5 Zn 2.65-2.91, 4 Li 2.69-2.79, 2 Ga 2.80
Zn  0.2500  0.1952  0.1244  4 Li 2.63-2.78, 7 Zn 2.70-2.82, 1 Ga 2.89
Zn  0.7500  0.5927  0.0619  5 Zn 2.65-2.70, 7 Li 2.74-2.96
Zn  0.7500  0.1890  0.4662  5 Zn 2.71-2.91, 4 Li 2.71-2.96, 3 Ga 2.76-2.82
Zn  0.2500  0.0035  0.3337  6 Zn 2.71-2.79, 5 Li 2.74-2.88, 1 Ga 2.76
Zn  0.2500  0.8110  0.5338  5 Zn 2.71-2.91, 4 Li 2.71-2.96, 3 Ga 2.76-2.82
Zn  0.2500  0.0155  0.8283  8 Zn 2.69-2.84, 4 Li 2.72-2.82
Ga  0.2500  0.4079  0.4228  2 Li 2.70-2.79, 7 Zn 2.76-2.89, 2 Ga 2.79
Ga  0.7500  0.5921  0.5772  2 Li 2.70-2.79, 7 Zn 2.76-2.89, 2 Ga 2.79

Summary:
M_tot (μB/cell): 0.0
ΔH_f (0 K) (eV/atom): -0.157
Mass density (g/cm3): 5.37
SG: P2_1/m (11)